(1)
Here is a geometry-optimized Rb3Ac3TaS8 structure from Alexandria via LeMat-Bulk. Energies are from PBE.

Properties
* formation energy without anion corrections: -1.622 eV per atom
* space group: R-3m (166)
* volume: 493.73 Å³/cell
* N(E_F): 4.70 states/eV/f.u.

Lattice parameters (Å, degrees): 8.5071 8.5071 9.2842 117.28 90.00 120.00
Last column: nearest neighbours and their distance in Å.
Sites, in units of the cell vectors:
Rb (0.0000, 0.0000, 0.0000)  6 S 3.35-3.40
Rb (0.0000, 0.5000, 0.0000)  6 S 3.35-3.40
Rb (0.5000, 0.5000, 0.0000)  6 S 3.35-3.40
Ac (0.5000, 0.0000, 0.5000)  6 S 2.97-3.01
Ac (0.5000, 0.5000, 0.5000)  6 S 2.97-3.01
Ac (0.0000, 0.5000, 0.5000)  6 S 2.97-3.01
Ta (0.0000, 0.0000, 0.5000)  6 S 2.55
S (0.2630, 0.5259, 0.2890)  3 Ac 2.97
S (0.7370, 0.4741, 0.7110)  3 Ac 2.97
S (0.7960, 0.5919, 0.3180)  1 Ta 2.55
S (0.2040, 0.4081, 0.6820)  1 Ta 2.55
S (0.7960, 0.0219, 0.3181)  1 Ta 2.55
S (0.2040, 0.9781, 0.6819)  1 Ta 2.55
S (0.2259, 0.0219, 0.3181)  1 Ta 2.55
S (0.7741, 0.9781, 0.6819)  1 Ta 2.55

(2)
Here is a geometry-optimized Rb3Ac2TbS6 structure from Alexandria via LeMat-Bulk. Energies are from PBE.

Properties
* formation energy without anion corrections: -1.859 eV per atom
* space group: C2/m (12)
* volume: 378.87 Å³/cell
* N(E_F): 0.00 states/eV/f.u.

Lattice parameters (Å, degrees): 7.5246 7.5246 8.1250 98.89 98.89 120.00
Last column: nearest neighbours and their distance in Å.
Sites, in units of the cell vectors:
Rb (0.1667, 0.8333, 0.5000)  6 S 3.37-3.52
Rb (0.8333, 0.1667, 0.5000)  6 S 3.37-3.52
Rb (0.5000, 0.5000, 0.5000)  6 S 3.37-3.53
Ac (0.3334, 0.6666, 0.0000)  6 S 3.00
Ac (0.6666, 0.3334, 0.0000)  6 S 3.00
Tb (0.0000, 0.0000, 0.0000)  6 S 2.82-2.83
S (0.9336, 0.6183, 0.8010)  1 Tb 2.83, 2 Ac 3.00
S (0.7511, 0.7511, 0.1985)  1 Tb 2.82, 2 Ac 3.00
S (0.0664, 0.3817, 0.1990)  1 Tb 2.83, 2 Ac 3.00
S (0.6183, 0.9336, 0.8010)  1 Tb 2.83, 2 Ac 3.00
S (0.2489, 0.2489, 0.8015)  1 Tb 2.82, 2 Ac 3.00
S (0.3817, 0.0664, 0.1990)  1 Tb 2.83, 2 Ac 3.00

(3)
Here is a geometry-optimized RbAcTb4S8 structure from Alexandria via LeMat-Bulk. Energies are from PBE.

Properties
* formation energy without anion corrections: -1.911 eV per atom
* space group: R3m (160)
* volume: 423.59 Å³/cell
* N(E_F): 0.00 states/eV/f.u.

Lattice parameters (Å, degrees): 8.2946 8.2946 8.5718 61.06 61.06 60.00
Last column: nearest neighbours and their distance in Å.
Sites, in units of the cell vectors:
Rb (0.3682, 0.3682, 0.8955)  4 S 2.96-2.98
Ac (0.0034, 0.0034, 0.9897)  6 S 2.90-3.05
Tb (0.6258, 0.6258, 0.1226)  4 S 2.67-2.78
Tb (0.0042, 0.4869, 0.5048)  6 S 2.66-2.95
Tb (0.4869, 0.0042, 0.5048)  6 S 2.66-2.95
Tb (0.0042, 0.0042, 0.5048)  6 S 2.66-2.95
S (0.2435, 0.8021, 0.7108)  2 Tb 2.66, 1 Ac 2.90
S (0.8021, 0.2435, 0.7108)  2 Tb 2.66, 1 Ac 2.90
S (0.2435, 0.2435, 0.7108)  2 Tb 2.66, 1 Ac 2.90
S (0.2292, 0.2292, 0.3124)  3 Tb 2.69, 1 Rb 2.96
S (0.7491, 0.2346, 0.2673)  3 Tb 2.67-2.94
S (0.2346, 0.7491, 0.2673)  3 Tb 2.67-2.94
S (0.7491, 0.7491, 0.2673)  3 Tb 2.67-2.94
S (0.7563, 0.7563, 0.7311)  4 Tb 2.78-2.95

(4)
Here is a geometry-optimized Rb3AcTb2S6 structure from Alexandria via LeMat-Bulk. Energies are from PBE.

Properties
* formation energy without anion corrections: -1.851 eV per atom
* space group: C2/m (12)
* volume: 357.32 Å³/cell
* N(E_F): 0.00 states/eV/f.u.

Lattice parameters (Å, degrees): 7.3119 7.3119 8.0946 98.68 98.68 120.00
Last column: nearest neighbours and their distance in Å.
Sites, in units of the cell vectors:
Rb (0.1652, 0.8348, 0.5000)  6 S 3.30-3.44
Rb (0.8348, 0.1652, 0.5000)  6 S 3.30-3.44
Rb (0.5000, 0.5000, 0.5000)  6 S 3.29-3.43
Ac (0.0000, 0.0000, 0.0000)  6 S 2.98
Tb (0.3332, 0.6668, 0.0000)  6 S 2.81
Tb (0.6668, 0.3332, 0.0000)  6 S 2.81
S (0.9347, 0.5831, 0.8045)  2 Tb 2.81, 1 Ac 2.98
S (0.7135, 0.7135, 0.1953)  2 Tb 2.81, 1 Ac 2.98
S (0.0653, 0.4169, 0.1955)  2 Tb 2.81, 1 Ac 2.98
S (0.5831, 0.9347, 0.8045)  2 Tb 2.81, 1 Ac 2.98
S (0.2865, 0.2865, 0.8047)  2 Tb 2.81, 1 Ac 2.98
S (0.4169, 0.0653, 0.1955)  2 Tb 2.81, 1 Ac 2.98

(5)
Here is a geometry-optimized Rb4Ac3TbS8 structure from Alexandria via LeMat-Bulk. Energies are from PBE.

Properties
* formation energy without anion corrections: -1.857 eV per atom
* space group: R-3m (166)
* volume: 512.48 Å³/cell
* N(E_F): 0.00 states/eV/f.u.

Lattice parameters (Å, degrees): 8.7478 9.2380 8.7472 118.27 120.00 90.00
Last column: nearest neighbours and their distance in Å.
Sites, in units of the cell vectors:
Rb (0.5000, 0.0000, 0.0000)  6 S 3.53
Rb (0.5000, 0.0000, 0.5000)  6 S 3.40
Rb (0.0000, 0.0000, 0.0000)  6 S 3.40
Rb (0.0000, 0.0000, 0.5000)  6 S 3.40
Ac (0.5000, 0.5000, 0.0000)  6 S 2.99-3.01
Ac (0.5000, 0.5000, 0.5000)  6 S 2.99-3.01
Ac (0.0000, 0.5000, 0.5000)  6 S 2.99-3.01
Tb (0.0000, 0.5000, 0.0000)  6 S 2.85
S (0.2245, 0.6980, 0.9736)  1 Tb 2.85, 2 Ac 3.01
S (0.2246, 0.6980, 0.4491)  1 Tb 2.85, 2 Ac 3.01
S (0.2646, 0.2940, 0.5293)  3 Ac 2.99
S (0.7490, 0.6980, 0.9736)  1 Tb 2.85, 2 Ac 3.01
S (0.2510, 0.3020, 0.0264)  1 Tb 2.85, 2 Ac 3.01
S (0.7354, 0.7060, 0.4707)  3 Ac 2.99
S (0.7754, 0.3020, 0.5509)  1 Tb 2.85, 2 Ac 3.01
S (0.7755, 0.3020, 0.0264)  1 Tb 2.85, 2 Ac 3.01

(6)
Here is a geometry-optimized Rb3Ac3TcS8 structure from Alexandria via LeMat-Bulk. Energies are from PBE.

Properties
* formation energy without anion corrections: -1.475 eV per atom
* space group: R-3m (166)
* volume: 493.06 Å³/cell

Lattice parameters (Å, degrees): 8.5175 8.5173 9.2620 117.38 90.00 120.00
Last column: nearest neighbours and their distance in Å.
Sites, in units of the cell vectors:
Rb (0.0000, 0.0000, 0.0000)  6 S 3.36-3.41
Rb (0.0000, 0.5000, 0.0000)  6 S 3.36-3.41
Rb (0.5000, 0.5000, 0.0000)  6 S 3.36-3.41
Ac (0.5000, 0.0000, 0.5000)  6 S 2.95-3.01
Ac (0.5000, 0.5000, 0.5000)  6 S 2.95-3.01
Ac (0.0000, 0.5000, 0.5000)  6 S 2.95-3.01
Tc (0.0000, 0.0000, 0.5000)  6 S 2.53
S (0.2638, 0.5276, 0.2915)  3 Ac 2.95
S (0.7362, 0.4724, 0.7085)  3 Ac 2.95
S (0.7976, 0.5952, 0.3199)  1 Tc 2.53
S (0.2024, 0.4048, 0.6801)  1 Tc 2.53
S (0.7976, 0.0222, 0.3199)  1 Tc 2.53
S (0.2024, 0.9778, 0.6801)  1 Tc 2.53
S (0.2246, 0.0222, 0.3199)  1 Tc 2.53
S (0.7754, 0.9778, 0.6801)  1 Tc 2.53

(7)
Here is a geometry-optimized RbAcTeS structure from Alexandria via LeMat-Bulk. Energies are from PBE.

Properties
* formation energy without anion corrections: -1.626 eV per atom
* space group: R3m (160)
* volume: 156.27 Å³/cell
* N(E_F): 0.00 states/eV/f.u.

Lattice parameters (Å, degrees): 4.6134 4.6133 8.8874 90.03 105.03 120.00
Last column: nearest neighbours and their distance in Å.
Sites, in units of the cell vectors:
Rb (0.9711, 0.3839, 0.3696)  3 Te 3.61, 3 S 3.70-3.71, 1 Ac 4.03
Ac (0.2875, 0.5415, 0.8445)  3 S 3.03, 3 Te 3.34
Te (0.1123, 0.9542, 0.0817)  3 Ac 3.34, 3 Rb 3.61
S (0.5070, 0.1511, 0.6738)  3 Ac 3.03

(8)
Here is a geometry-optimized Rb4Ac3ThS8 structure from Alexandria via LeMat-Bulk. Energies are from PBE.

Properties
* formation energy without anion corrections: -1.806 eV per atom
* space group: R-3m (166)
* volume: 514.17 Å³/cell
* N(E_F): 5.18 states/eV/f.u.

Lattice parameters (Å, degrees): 8.7635 9.2413 8.7624 118.31 120.00 90.00
Last column: nearest neighbours and their distance in Å.
Sites, in units of the cell vectors:
Rb (0.5000, 0.0000, 0.0000)  6 S 3.53
Rb (0.5000, 0.0000, 0.5000)  6 S 3.38-3.39
Rb (0.0000, 0.0000, 0.0000)  6 S 3.38-3.39
Rb (0.0000, 0.0000, 0.5000)  6 S 3.38-3.39
Ac (0.5000, 0.5000, 0.0000)  6 S 3.00-3.03
Ac (0.5000, 0.5000, 0.5000)  6 S 3.00-3.03
Ac (0.0000, 0.5000, 0.5000)  6 S 3.00-3.03
Th (0.0000, 0.5000, 0.0000)  6 S 2.85-2.86
S (0.2248, 0.7007, 0.9760)  1 Th 2.86, 2 Ac 3.03
S (0.2248, 0.7007, 0.4497)  1 Th 2.85, 2 Ac 3.03
S (0.2637, 0.2913, 0.5275)  3 Ac 3.00
S (0.7511, 0.7007, 0.9760)  1 Th 2.86, 2 Ac 3.03
S (0.2489, 0.2993, 0.0240)  1 Th 2.86, 2 Ac 3.03
S (0.7363, 0.7087, 0.4725)  3 Ac 3.00
S (0.7752, 0.2993, 0.5503)  1 Th 2.85, 2 Ac 3.03
S (0.7752, 0.2993, 0.0240)  1 Th 2.86, 2 Ac 3.03

> Number 2 is which compound?

Rb3Ac2TbS6